(1)
TlGa2Se | PBE | relaxed

Values from the calculation:
Polymorph energy (0 for the lowest one) in meV/atom: 33.2
D(E_F) in states/eV per cell: 2.89

a b c (Å): 3.6933 3.6933 28.7847
angles (deg): 90.00 90.00 120.00
Closest atoms and distances in Å follow each position.
Space group R-3m (No. 166, hexagonal axes)
Inequivalent atoms, fractional coordinates:
Tl 0.0000 0.0000 0.0000 (multiplicity 3)  2 Ga 3.08
Ga 0.0000 0.0000 0.1069 (multiplicity 6)  3 Se 2.74
Se 0.0000 0.0000 0.5000 (multiplicity 3)  6 Ga 2.74

(2)
TlGaSe2 | PBE | relaxed

Values from the calculation:
Polymorph energy (0 for the lowest one) in meV/atom: 0.0
D(E_F) in states/eV per cell: 0.00

a b c (Å): 11.0371 11.0003 16.0596
angles (deg): 90.00 99.50 90.00
Closest atoms and distances in Å follow each position.
Space group C2/c (No. 15)
Inequivalent atoms, fractional coordinates:
Tl 0.0640 0.2191 0.3967 (multiplicity 8)  5 Se 3.30-3.43
Tl 0.2422 0.4151 0.1169 (multiplicity 8)  5 Se 3.28-3.58
Ga 0.1009 0.1875 0.6649 (multiplicity 8)  4 Se 2.45-2.46
Ga 0.1448 0.4360 0.8360 (multiplicity 8)  4 Se 2.43-2.46
Se 0.0000 0.0466 0.7500 (multiplicity 4)  2 Ga 2.45
Se 0.0000 0.4298 0.2500 (multiplicity 4)  2 Ga 2.43
Se 0.0531 0.3026 0.9306 (multiplicity 8)  2 Ga 2.45
Se 0.2143 0.0709 0.5717 (multiplicity 8)  2 Ga 2.46
Se 0.2410 0.1886 0.2497 (multiplicity 8)  2 Ga 2.44-2.45

(3)
Tl3GaSe3 | PBE | relaxed

Values from the calculation:
Polymorph energy (0 for the lowest one) in meV/atom: 0.0

a b c (Å): 9.2047 7.4570 13.0424
angles (deg): 90.00 99.42 90.00
Closest atoms and distances in Å follow each position.
Space group P2_1/c (No. 14)
Inequivalent atoms, fractional coordinates:
Tl 0.0792 0.2500 0.0750 (multiplicity 4)  5 Se 3.15-3.46
Tl 0.1943 0.7129 0.2269 (multiplicity 4)  3 Se 3.02-3.22
Tl 0.4025 0.1322 0.8732 (multiplicity 4)  5 Se 3.28-3.59, 1 Tl 3.57, 2 Ga 3.63-3.66
Ga 0.3305 0.5762 0.9677 (multiplicity 4)  4 Se 2.44-2.48
Se 0.1338 0.0729 0.3497 (multiplicity 4)  1 Ga 2.44
Se 0.2443 0.6351 0.5210 (multiplicity 4)  1 Ga 2.44
Se 0.4451 0.1198 0.6121 (multiplicity 4)  2 Ga 2.48

(4)
TlGaSe2 | PBE | relaxed

Values from the calculation:
Polymorph energy (0 for the lowest one) in meV/atom: 319.0
D(E_F) in states/eV per cell: 8.21

a b c (Å): 3.6690 3.6690 28.0816
angles (deg): 90.00 90.00 120.00
Closest atoms and distances in Å follow each position.
Space group R-3m (No. 166, hexagonal axes)
Inequivalent atoms, fractional coordinates:
Tl 0.0000 0.0000 0.0000 (multiplicity 3)  2 Se 3.18
Ga 0.0000 0.0000 0.5000 (multiplicity 3)  6 Se 2.60
Se 0.0000 0.0000 0.1131 (multiplicity 6)  3 Ga 2.60

(5)
Tl2GaSe | PBE | relaxed

Values from the calculation:
Polymorph energy (0 for the lowest one) in meV/atom: 0.0
D(E_F) in states/eV per cell: 12.98

a b c (Å): 7.6113 7.6113 7.6113
angles (deg): 90.00 90.00 90.00
Closest atoms and distances in Å follow each position.
Space group Fm-3m (No. 225)
Inequivalent atoms, fractional coordinates:
Tl 0.2500 0.2500 0.2500 (multiplicity 8)  4 Se 3.30, 4 Ga 3.30
Ga 0.0000 0.0000 0.0000 (multiplicity 4)  8 Tl 3.30
Se 0.0000 0.0000 0.5000 (multiplicity 4)  8 Tl 3.30

(6)
Tl3GaSe | PBE | relaxed

Values from the calculation:
Polymorph energy (0 for the lowest one) in meV/atom: 221.7
D(E_F) in states/eV per cell: 5.21

a b c (Å): 5.8830 5.8830 5.8830
angles (deg): 90.00 90.00 90.00
Closest atoms and distances in Å follow each position.
Space group Pm-3m (No. 221)
Inequivalent atoms, fractional coordinates:
Tl 0.0000 0.0000 0.5000 (multiplicity 3)  2 Se 2.94
Ga 0.5000 0.5000 0.5000 (multiplicity 1)  12 Tl 4.16
Se 0.0000 0.0000 0.0000 (multiplicity 1)  6 Tl 2.94

(7)
Tl5Ga2Se6 | PBE | relaxed

Values from the calculation:
Energy in eV per cell: -178.63
D(E_F) in states/eV per cell: 19.80

a b c (Å): 13.2428 8.0201 16.5117
angles (deg): 90.00 103.06 90.00
Closest atoms and distances in Å follow each position.
Space group C2/c (No. 15)
Inequivalent atoms, fractional coordinates:
Tl 0.0000 0.1830 0.2500 (multiplicity 4)  6 Se 3.22-3.60
Tl 0.0089 0.2374 0.0015 (multiplicity 8)  4 Se 3.15-3.32
Tl 0.1617 0.3423 0.7379 (multiplicity 8)  5 Se 3.15-3.38
Ga 0.2256 0.3896 0.4309 (multiplicity 8)  4 Se 2.43-2.48
Se 0.0534 0.4997 0.3725 (multiplicity 8)  1 Ga 2.43
Se 0.1448 0.0013 0.1388 (multiplicity 8)  1 Ga 2.44
Se 0.2170 0.0818 0.4176 (multiplicity 8)  2 Ga 2.46-2.48

(8)
TlGaSe2 | PBE | relaxed

Values from the calculation:
Polymorph energy (0 for the lowest one) in meV/atom: 341.9
D(E_F) in states/eV per cell: 0.00

a b c (Å): 5.2787 5.2787 22.0466
angles (deg): 90.00 90.00 120.00
Closest atoms and distances in Å follow each position.
Space group R-3m (No. 166, hexagonal axes)
Inequivalent atoms, fractional coordinates:
Tl 0.0000 0.0000 0.0000 (multiplicity 3)  6 Se 3.38
Ga 0.0000 0.0000 0.5000 (multiplicity 3)  2 Se 2.21
Se 0.0000 0.0000 0.3998 (multiplicity 6)  1 Ga 2.21

(9)
TlGa2Se3 | PBE | relaxed

Values from the calculation:
Energy in eV per cell: -86.47
D(E_F) in states/eV per cell: 5.27

a b c (Å): 22.8873 4.5325 7.3959
angles (deg): 90.00 105.25 90.00
Closest atoms and distances in Å follow each position.
Space group C2/m (No. 12)
Inequivalent atoms, fractional coordinates:
Tl 0.1408 0.0000 0.4230 (multiplicity 4)  3 Se 3.10-3.28
Ga 0.0586 0.5000 0.9092 (multiplicity 4)  4 Se 2.47-2.59
Ga 0.1994 0.0000 0.0138 (multiplicity 4)  4 Se 2.49-2.56
Se 0.0527 0.5000 0.2372 (multiplicity 4)  2 Ga 2.47-2.49
Se 0.0944 0.0000 0.8069 (multiplicity 4)  3 Ga 2.49-2.59
Se 0.2225 0.5000 0.1768 (multiplicity 4)  3 Ga 2.55-2.56

(10)
Tl6GaSe4 | PBE | relaxed

Values from the calculation:
Energy in eV per cell: -70.34
D(E_F) in states/eV per cell: 8.26

a b c (Å): 10.3741 10.3741 7.5731
angles (deg): 90.00 90.00 120.00
Closest atoms and distances in Å follow each position.
Space group P6_3mc (No. 186)
Inequivalent atoms, fractional coordinates:
Tl 0.0558 0.5279 0.0000 (multiplicity 6)  5 Se 3.26-3.46, 1 Ga 3.58
Tl 0.1396 0.2792 0.3095 (multiplicity 6)  4 Se 3.21-3.49
Ga 0.3333 0.6667 0.6047 (multiplicity 2)  4 Se 2.48
Se 0.2020 0.4040 0.7066 (multiplicity 6)  1 Ga 2.48
Se 0.3333 0.6667 0.2769 (multiplicity 2)  1 Ga 2.48

(11)
TlGa2Se2 | PBE | relaxed

Values from the calculation:
Polymorph energy (0 for the lowest one) in meV/atom: 193.8
D(E_F) in states/eV per cell: 3.91

a b c (Å): 8.1444 8.1444 3.6433
angles (deg): 90.00 90.00 90.00
Closest atoms and distances in Å follow each position.
Space group P4/mbm (No. 127)
Inequivalent atoms, fractional coordinates:
Tl 0.0000 0.0000 0.0000 (multiplicity 2)  4 Se 3.12
Ga 0.1367 0.3633 0.5000 (multiplicity 4)  6 Se 2.94-3.09, 1 Ga 3.15
Se 0.1462 0.6462 0.0000 (multiplicity 4)  6 Ga 2.94-3.09, 2 Tl 3.12

(12)
TlGaSe3 | PBE | relaxed

Values from the calculation:
Polymorph energy (0 for the lowest one) in meV/atom: 0.0

a b c (Å): 3.9748 5.5094 6.9437
angles (deg): 89.14 78.14 89.15
Closest atoms and distances in Å follow each position.
Space group P1 (No. 1)
Inequivalent atoms, fractional coordinates:
Tl 0.0000 0.0000 0.0000 (multiplicity 1)  6 Se 3.30-3.68
Ga 0.7295 0.4611 0.3963 (multiplicity 1)  4 Se 2.45-2.55
Se 0.3229 0.5022 0.1732 (multiplicity 1)  2 Ga 2.46-2.55
Se 0.6409 0.7584 0.6610 (multiplicity 1)  1 Se 2.40, 1 Ga 2.45
Se 0.9809 0.0725 0.4748 (multiplicity 1)  1 Se 2.40, 1 Ga 2.45

(13)
Tl14Ga2Se9 | PBE | relaxed

Values from the calculation:
Energy in eV per cell: -79.54
D(E_F) in states/eV per cell: 9.75

a b c (Å): 9.2234 9.2234 11.0375
angles (deg): 90.00 90.00 120.00
Closest atoms and distances in Å follow each position.
Space group P-3 (No. 147)
Inequivalent atoms, fractional coordinates:
Tl 0.0000 0.0000 0.2144 (multiplicity 2)  4 Se 3.15-3.33
Tl 0.0208 0.6737 0.3995 (multiplicity 6)  4 Se 3.22-3.51
Tl 0.1065 0.4299 0.1437 (multiplicity 6)  3 Se 3.01-3.28
Ga 0.3333 0.6667 0.7989 (multiplicity 2)  4 Se 2.45-2.46
Se 0.0000 0.0000 0.5000 (multiplicity 1)  8 Tl 3.15-3.30
Se 0.1218 0.3890 0.8742 (multiplicity 6)  1 Ga 2.46
Se 0.3333 0.6667 0.5765 (multiplicity 2)  1 Ga 2.45

(14)
TlGaSe3 | PBE | relaxed

Values from the calculation:
Polymorph energy (0 for the lowest one) in meV/atom: 336.9
D(E_F) in states/eV per cell: 3.90

a b c (Å): 5.0962 5.0962 5.0962
angles (deg): 90.00 90.00 90.00
Closest atoms and distances in Å follow each position.
Space group Pm-3m (No. 221)
Inequivalent atoms, fractional coordinates:
Tl 0.0000 0.0000 0.0000 (multiplicity 1)  12 Se 3.60
Ga 0.5000 0.5000 0.5000 (multiplicity 1)  6 Se 2.55
Se 0.0000 0.5000 0.5000 (multiplicity 3)  2 Ga 2.55

(15)
TlGaSe2 | PBE | relaxed

Values from the calculation:
Polymorph energy (0 for the lowest one) in meV/atom: 567.5
D(E_F) in states/eV per cell: 10.46

a b c (Å): 7.2313 7.2313 7.2313
angles (deg): 90.00 90.00 90.00
Closest atoms and distances in Å follow each position.
Space group Fm-3m (No. 225)
Inequivalent atoms, fractional coordinates:
Tl 0.0000 0.0000 0.0000 (multiplicity 4)  8 Se 3.13
Ga 0.0000 0.0000 0.5000 (multiplicity 4)  8 Se 3.13
Se 0.2500 0.2500 0.2500 (multiplicity 8)  4 Tl 3.13, 4 Ga 3.13

(16)
TlGaSe3 | PBE | relaxed

Values from the calculation:
Polymorph energy (0 for the lowest one) in meV/atom: 807.6
D(E_F) in states/eV per cell: 5.10

a b c (Å): 5.4257 5.4257 5.4257
angles (deg): 90.00 90.00 90.00
Closest atoms and distances in Å follow each position.
Space group Pm-3m (No. 221)
Inequivalent atoms, fractional coordinates:
Tl 0.0000 0.0000 0.0000 (multiplicity 1)  6 Se 2.71
Ga 0.5000 0.5000 0.5000 (multiplicity 1)  12 Se 3.84
Se 0.0000 0.0000 0.5000 (multiplicity 3)  2 Tl 2.71

(17)
TlGa2Se | PBE | relaxed

Values from the calculation:
Polymorph energy (0 for the lowest one) in meV/atom: 0.0
D(E_F) in states/eV per cell: 5.75

a b c (Å): 3.8136 3.8136 23.8803
angles (deg): 90.00 90.00 120.00
Closest atoms and distances in Å follow each position.
Space group R3m (No. 160, hexagonal axes)
Inequivalent atoms, fractional coordinates:
Tl 0.0000 0.0000 0.0000 (multiplicity 3)  6 Ga 3.18-3.21
Ga 0.0000 0.0000 0.2356 (multiplicity 3)  3 Se 2.79
Ga 0.0000 0.0000 0.4293 (multiplicity 3)  3 Se 2.73
Se 0.0000 0.0000 0.8303 (multiplicity 3)  6 Ga 2.73-2.79

(18)
TlGa2Se2 | PBE | relaxed

Values from the calculation:
Polymorph energy (0 for the lowest one) in meV/atom: 51.8
D(E_F) in states/eV per cell: 2.49

a b c (Å): 8.4062 8.4062 3.7838
angles (deg): 90.00 90.00 90.00
Closest atoms and distances in Å follow each position.
Space group P4/mbm (No. 127)
Inequivalent atoms, fractional coordinates:
Tl 0.0000 0.0000 0.0000 (multiplicity 2)  4 Ga 3.44, 8 Se 3.53, 2 Tl 3.78
Ga 0.1036 0.3964 0.0000 (multiplicity 4)  2 Se 2.45, 1 Ga 2.46
Se 0.2345 0.2655 0.5000 (multiplicity 4)  2 Ga 2.45

(19)
Tl3GaSe3 | PBE | relaxed

Values from the calculation:
Polymorph energy (0 for the lowest one) in meV/atom: 89.8
D(E_F) in states/eV per cell: 0.87

a b c (Å): 9.1622 15.7936 6.8141
angles (deg): 90.00 90.00 90.00
Closest atoms and distances in Å follow each position.
Space group Cmcm (No. 63)
Inequivalent atoms, fractional coordinates:
Tl 0.0000 0.2041 0.2500 (multiplicity 4)  4 Se 3.09-3.42
Tl 0.1929 0.3978 0.2500 (multiplicity 8)  4 Se 3.08-3.42
Ga 0.0000 0.3331 0.7500 (multiplicity 4)  3 Se 2.36
Se 0.0000 0.1838 0.7500 (multiplicity 4)  1 Ga 2.36
Se 0.2228 0.4079 0.7500 (multiplicity 8)  1 Ga 2.36

(20)
TlGaSe3 | PBE | relaxed

Values from the calculation:
Polymorph energy (0 for the lowest one) in meV/atom: 7.7
D(E_F) in states/eV per cell: 9.51

a b c (Å): 5.4342 18.3034 6.6060
angles (deg): 90.00 90.00 90.00
Closest atoms and distances in Å follow each position.
Space group Cmc2_1 (No. 36)
Inequivalent atoms, fractional coordinates:
Tl 0.0000 0.1702 0.0000 (multiplicity 4)  8 Se 3.36-3.65
Ga 0.0000 0.4420 0.8932 (multiplicity 4)  4 Se 2.38-2.47
Se 0.0000 0.4372 0.5276 (multiplicity 4)  2 Ga 2.38-2.42
Se 0.2383 0.1591 0.5149 (multiplicity 8)  1 Ga 2.47, 1 Se 2.59

(21)
TlGaSe2 | PBE | relaxed

Values from the calculation:
Polymorph energy (0 for the lowest one) in meV/atom: 18.2
D(E_F) in states/eV per cell: 0.00

a b c (Å): 8.2279 8.2279 6.5328
angles (deg): 90.00 90.00 90.00
Closest atoms and distances in Å follow each position.
Space group I4/mcm (No. 140)
Inequivalent atoms, fractional coordinates:
Tl 0.0000 0.0000 0.2500 (multiplicity 4)  2 Tl 3.27, 8 Se 3.50
Ga 0.0000 0.5000 0.2500 (multiplicity 4)  4 Se 2.47
Se 0.1592 0.3408 0.0000 (multiplicity 8)  2 Ga 2.47

| no. | density (g/cm3) |
| --- | --- |
| 1 | 6.194 |
| 2 | 5.969 |
| 3 | 6.917 |
| 4 | 6.574 |
| 5 | 8.397 |
| 6 | 6.213 |
| 7 | 6.358 |
| 8 | 4.045 |
| 9 | 5.211 |
| 10 | 7.584 |
| 11 | 6.895 |
| 12 | 5.703 |
| 13 | 7.579 |
| 14 | 6.411 |
| 15 | 7.589 |
| 16 | 5.312 |
| 17 | 7.003 |
| 18 | 6.232 |
| 19 | 6.196 |
| 20 | 5.165 |
| 21 | 6.489 |